DFT (GGA-PBE) results for an optimized crystal structure of Zr2CdRe.

The calculated formation energy is 0.22 eV per atom.

The structure belongs to space group C2/m (No. 12); the cell edges are 9.632, 2.821 and 5.911 Å and the angles 90.00°, 93.49° and 90.00°. Symmetry generates all atoms from Zr at (0.246, 0.000, 0.266), Cd at (0.000, 0.500, 0.000) and Re at (0.000, 0.000, 0.500).

DFT (GGA-PBE) results for an optimized crystal structure of ZrCdRe2.

The calculated formation energy is 0.51 eV per atom.

The structure belongs to space group Cmmm (No. 65); the cell edges are 5.724, 8.287 and 2.983 Å and the angles 90.00°, 90.00° and 90.00°. Symmetry generates all atoms from Zr at (0.000, 0.000, 0.000), Cd at (0.000, 0.500, 0.000) and Re at (0.250, 0.250, 0.500).

DFT (GGA-PBE) results for an optimized crystal structure of Zr2CdRe.

The calculated formation energy is 0.04 eV per atom.

The structure belongs to space group Imm2 (No. 44); the cell edges are 3.471, 4.705 and 9.910 Å and the angles 90.00°, 90.00° and 90.00°. Symmetry generates all atoms from Zr at (0.000, 0.000, 0.000), Zr at (0.000, 0.500, 0.225), Cd at (0.000, 0.500, 0.774) and Re at (0.000, 0.000, 0.511).

DFT (GGA-PBE) results for an optimized crystal structure of ZrCdRe3.

The calculated formation energy is 2.57 eV per atom. As for the energy relative to the lowest polymorph listed for this composition: 0.114 eV per atom.

The structure belongs to space group Pm-3m (No. 221); the cell edges are 4.776, 4.776 and 4.776 Å and the angles 90.00°, 90.00° and 90.00°. Symmetry generates all atoms from Zr at (0.000, 0.000, 0.000), Cd at (0.500, 0.500, 0.500) and Re at (0.000, 0.500, 0.500).

DFT (GGA-PBE) results for an optimized crystal structure of Zr2CdRe.

The calculated formation energy is 0.14 eV per atom.

The structure belongs to space group P4mm (No. 99); the cell edges are 3.482, 3.482 and 6.561 Å and the angles 90.00°, 90.00° and 90.00°. Symmetry generates all atoms from Zr at (0.000, 0.000, 0.000), Zr at (0.500, 0.500, 0.268), Cd at (0.000, 0.000, 0.542) and Re at (0.500, 0.500, 0.796).

DFT (GGA-PBE) results for an optimized crystal structure of Zr2CdRe.

The calculated formation energy is -0.21 eV per atom.

The structure belongs to space group P4/mmm (No. 123); the cell edges are 3.353, 3.353 and 7.195 Å and the angles 90.00°, 90.00° and 90.00°. Symmetry generates all atoms from Zr at (0.000, 0.000, 0.220), Cd at (0.500, 0.500, 0.500) and Re at (0.500, 0.500, 0.000).

DFT (GGA-PBE) results for an optimized crystal structure of Zr2CdRe.

The calculated formation energy is 0.20 eV per atom.

The structure belongs to space group Cmm2 (No. 35); the cell edges are 3.341, 4.849 and 9.892 Å and the angles 90.00°, 90.00° and 90.00°. Symmetry generates all atoms from Zr at (0.000, 0.000, 0.000), Zr at (0.000, 0.500, 0.278), Cd at (0.000, 0.500, 0.732) and Re at (0.000, 0.000, 0.492).

DFT (GGA-PBE) results for an optimized crystal structure of ZrCdRe2.

The calculated formation energy is 0.21 eV per atom.

The structure belongs to space group Pmm2 (No. 25); the cell edges are 2.954, 4.038 and 5.995 Å and the angles 90.00°, 90.00° and 90.00°. Symmetry generates all atoms from Zr at (0.000, 0.000, 0.000), Cd at (0.500, 0.500, 0.278), Re at (0.000, 0.000, 0.556) and Re at (0.500, 0.500, 0.745).

DFT (GGA-PBE) results for an optimized crystal structure of Zr2CdRe.

The calculated formation energy is 0.03 eV per atom.

The structure belongs to space group R-3m (No. 166, hexagonal axes); the cell edges are 3.2452, 3.2452 and 27.5446 Å and the angles 90.00°, 90.00° and 120.00°. Symmetry generates all atoms from Zr at (0.0000, 0.0000, 0.2405), Cd at (0.0000, 0.0000, 0.0000) and Re at (0.0000, 0.0000, 0.5000).

DFT (GGA-PBE) results for an optimized crystal structure of ZrCdRe2.

The calculated formation energy is 0.31 eV per atom.

The structure belongs to space group Cmmm (No. 65); the cell edges are 3.238, 4.596 and 9.458 Å and the angles 90.00°, 90.00° and 90.00°. Symmetry generates all atoms from Zr at (0.000, 0.000, 0.000), Cd at (0.000, 0.000, 0.500) and Re at (0.000, 0.500, 0.243).

DFT (GGA-PBE) results for an optimized crystal structure of ZrCdRe2.

The calculated formation energy is 0.36 eV per atom.

The structure belongs to space group Immm (No. 71); the cell edges are 3.308, 4.581 and 9.352 Å and the angles 90.00°, 90.00° and 90.00°. Symmetry generates all atoms from Zr at (0.000, 0.000, 0.000), Cd at (0.000, 0.000, 0.500) and Re at (0.000, 0.500, 0.259).

DFT (GGA-PBE) results for an optimized crystal structure of Zr3CdRe.

The calculated formation energy is 1.79 eV per atom. As for the energy relative to the lowest polymorph listed for this composition: 1.291 eV per atom.

The structure belongs to space group Pm-3m (No. 221); the cell edges are 5.085, 5.085 and 5.085 Å and the angles 90.00°, 90.00° and 90.00°. Symmetry generates all atoms from Zr at (0.000, 0.000, 0.500), Cd at (0.000, 0.000, 0.000) and Re at (0.500, 0.500, 0.500).

Number 8 is which compound? ZrCdRe2

What is the formula in the eleventh record? ZrCdRe2

Among the records above, which one has the highest calculated formation energy? ZrCdRe3

Which value of calculated formation energy does entry 12 give? 1.79 eV per atom